[1]
Material: CdCoRh2C
Method: DFT, GGA-PBE
State: relaxed

- SG: P4/mmm
- E above lowest polymorph: 2932 meV/atom

Cell: 4.892 4.892 4.663 Å, 90.00 90.00 90.00°
Each line ends with the local moment (μB).
Fractional positions:
Rh 0.500 0.000 0.000  0.66
Co 0.000 0.000 0.500  2.04
Cd 0.000 0.000 0.000  -0.01
C 0.500 0.500 0.500  -0.05
Rh 0.000 0.500 0.000  0.66

***

[2]
Material: CdCoRh2C
Method: DFT, GGA-PBE
State: relaxed

- SG: P4/mmm
- E above lowest polymorph: 0 meV/atom

Cell: 4.122 4.122 3.868 Å, 90.00 90.00 90.00°
Each line ends with the local moment (μB).
Fractional positions:
Co 0.000 0.000 0.500  0.83
Rh 0.500 0.000 0.000  0.12
Rh 0.000 0.500 0.000  0.12
C 0.000 0.000 0.000  -0.04
Cd 0.500 0.500 0.500  -0.01

***

[3]
Material: Sc2CdCoC
Method: DFT, GGA-PBE
State: relaxed

- SG: P4/mmm

Cell: 4.658 4.658 3.690 Å, 90.00 90.00 90.00°
Fractional positions:
Sc 0.000 0.500 0.000
Sc 0.500 0.000 0.000
C 0.000 0.000 0.000
Cd 0.500 0.500 0.500
Co 0.000 0.000 0.500

***

[4]
Material: Tb2CdCoC
Method: DFT, GGA-PBE
State: relaxed

- SG: P4/mmm

Cell: 3.676 5.111 5.111 Å, 90.00 90.00 90.00°
Fractional positions:
Co 0.500 0.000 0.000
C 0.000 0.000 0.000
Tb 0.000 0.500 0.000
Cd 0.500 0.500 0.500
Tb 0.000 0.000 0.500

***

[5]
Material: CdCo2TcC
Method: DFT, GGA-PBE
State: relaxed

- SG: P4/mmm

Cell: 3.933 3.933 4.050 Å, 90.00 90.00 90.00°
Each line ends with the local moment (μB).
Fractional positions:
Co 0.000 0.500 0.000  1.22
Tc 0.000 0.000 0.500  0.62
Co 0.500 0.000 0.000  1.22
C 0.000 0.000 0.000  -0.04
Cd 0.500 0.500 0.500  -0.01

***

[6]
Material: Ti2CdCoC
Method: DFT, GGA-PBE
State: relaxed

- SG: P4/mmm

Cell: 4.242 4.242 3.837 Å, 90.00 90.00 90.00°
Fractional positions:
Ti 0.000 0.500 0.000
Co 0.000 0.000 0.500
C 0.000 0.000 0.000
Ti 0.500 0.000 0.000
Cd 0.500 0.500 0.500

***

[7]
Material: CdCoW2C
Method: DFT, GGA-PBE
State: relaxed

- SG: P4/mmm

Cell: 4.945 4.544 4.945 Å, 90.00 90.00 90.00°
Each line ends with the local moment (μB).
Fractional positions:
C 0.500 0.500 0.500  -0.26
Cd 0.000 0.000 0.000  0.03
W 0.000 0.000 0.500  1.41
W 0.500 0.000 0.000  1.25
Co 0.000 0.500 0.000  1.79

***

[8]
Material: Y2CdCoC
Method: DFT, GGA-PBE
State: relaxed

- SG: P4/mmm

Cell: 5.085 5.085 3.684 Å, 90.00 90.00 90.00°
Fractional positions:
Y 0.000 0.500 0.000
Co 0.000 0.000 0.500
Cd 0.500 0.500 0.500
Y 0.500 0.000 0.000
C 0.000 0.000 0.000

***

no.,N(E_F) (states/eV per atom),final energy (eV/atom)
1,1.97,-3.432
2,0.81,-6.364
3,0.56,-6.359
4,0.48,-5.620
5,0.85,-6.742
6,0.75,-6.859
7,1.45,-4.664
8,0.56,-6.372